1.
## Sm2TlB2Rh5 (PBE)

Data for crystalline Sm2TlB2Rh5 at its relaxed geometry.

Cell lengths 9.786, 9.786, 3.283 Å; angles 90.00, 90.00, 90.00 degrees
Atoms (fractional coordinates):
Sm 0.176 0.324 0.000
Sm 0.324 0.824 0.000
Sm 0.676 0.176 0.000
Sm 0.824 0.676 0.000
Tl 0.000 0.000 0.000
Tl 0.500 0.500 0.000
B 0.120 0.620 0.000
B 0.380 0.120 0.000
B 0.620 0.880 0.000
B 0.880 0.380 0.000
Rh 0.000 0.500 0.500
Rh 0.070 0.770 0.500
Rh 0.230 0.070 0.500
Rh 0.270 0.570 0.500
Rh 0.430 0.270 0.500
Rh 0.500 0.000 0.500
Rh 0.570 0.730 0.500
Rh 0.730 0.430 0.500
Rh 0.770 0.930 0.500
Rh 0.930 0.230 0.500

Properties
space-group type	P4/mbm (127)
crystal system	tetragonal
energy relative to the elements	-0.630	eV per atom
density	11.00	g/cm³
energy	-6.8220	eV/atom

=====

2.
## La2Pd15Pb2 (PBE)

Data for crystalline La2Pd15Pb2 at its relaxed geometry.

Cell lengths 7.134, 7.134, 7.134 Å; angles 82.13, 82.13, 82.13 degrees
Atoms (fractional coordinates):
La 0.144 0.144 0.144
La 0.856 0.856 0.856
Pd 0.000 0.500 0.500
Pd 0.152 0.152 0.664
Pd 0.152 0.664 0.152
Pd 0.186 0.500 0.814
Pd 0.186 0.814 0.500
Pd 0.336 0.848 0.848
Pd 0.500 0.000 0.500
Pd 0.500 0.186 0.814
Pd 0.500 0.500 0.000
Pd 0.500 0.814 0.186
Pd 0.664 0.152 0.152
Pd 0.814 0.186 0.500
Pd 0.814 0.500 0.186
Pd 0.848 0.336 0.848
Pd 0.848 0.848 0.336
Pb 0.392 0.392 0.392
Pb 0.608 0.608 0.608

Properties
space-group type	R-3m (166)
crystal system	trigonal
energy relative to the elements	-0.382	eV per atom
density	10.74	g/cm³
energy	-5.3907	eV/atom